(1)
# Hf3CBr

Crystalline Hf3CBr at its relaxed geometry (PBE, Alexandria).

## Properties
DFT total energy (hartree per atom): -0.29341
Total moment (μB per atom): 0.000
Relative energy among the computed polymorphs (meV/atom): 0

Cell lengths 4.561, 4.561, 4.561 Å; angles 90.00, 90.00, 90.00 degrees
Space group Pm-3m (No. 221)
One atom of each set of equivalent atoms:
Hf (0.000, 0.000, 0.500) (multiplicity 3)
C (0.000, 0.000, 0.000) (multiplicity 1)
Br (0.500, 0.500, 0.500) (multiplicity 1)

(2)
# SrSe2Cl

Crystalline SrSe2Cl at its relaxed geometry (PBE, Alexandria).

## Properties
DFT total energy (hartree per atom): -0.12453
Total moment (μB per atom): 0.001
Relative energy among the computed polymorphs (meV/atom): 520

Cell lengths 4.9713, 4.9713, 22.1162 Å; angles 90.00, 90.00, 120.00 degrees
Space group R-3m (No. 166, hexagonal axes)
One atom of each set of equivalent atoms:
Sr (0.0000, 0.0000, 0.0000) (multiplicity 3)
Se (0.0000, 0.0000, 0.3889) (multiplicity 6)
Cl (0.0000, 0.0000, 0.5000) (multiplicity 3)

(3)
# Cd2Sn2Pb

Crystalline Cd2Sn2Pb at its relaxed geometry (PBE, Alexandria).

## Properties
DFT total energy (hartree per atom): -0.09671
Total moment (μB per atom): 0.000
Relative energy among the computed polymorphs (meV/atom): 5

Cell lengths 9.281, 5.179, 6.063 Å; angles 90.00, 101.47, 90.00 degrees
Space group C2/m (No. 12)
One atom of each set of equivalent atoms:
Cd (0.119, 0.000, 0.236) (multiplicity 4)
Sn (0.211, 0.000, 0.783) (multiplicity 4)
Pb (0.000, 0.500, 0.500) (multiplicity 2)

(4)
# LiTcAs

Crystalline LiTcAs at its relaxed geometry (PBE, Alexandria).

## Properties
DFT total energy (hartree per atom): -0.21020
Total moment (μB per atom): 0.000
Relative energy among the computed polymorphs (meV/atom): 317

Cell lengths 4.3555, 4.3555, 2.6659 Å; angles 90.00, 90.00, 120.00 degrees
Space group P-6m2 (No. 187)
One atom of each set of equivalent atoms:
Li (0.0000, 0.0000, 0.0000) (multiplicity 1)
Tc (0.3333, 0.6667, 0.5000) (multiplicity 1)
As (0.6667, 0.3333, 0.5000) (multiplicity 1)

(5)
# Cr2Os2Pb

Crystalline Cr2Os2Pb at its relaxed geometry (PBE, Alexandria).

## Properties
DFT total energy (hartree per atom): -0.31501
Total moment (μB per atom): 0.000

Cell lengths 3.984, 3.984, 10.523 Å; angles 90.00, 90.00, 90.00 degrees
Space group I4/mmm (No. 139)
One atom of each set of equivalent atoms:
Cr (0.000, 0.000, 0.117) (multiplicity 4)
Os (0.000, 0.500, 0.250) (multiplicity 4)
Pb (0.000, 0.000, 0.500) (multiplicity 2)

(6)
# Tm3ZnCo

Crystalline Tm3ZnCo at its relaxed geometry (PBE, Alexandria).

## Properties
DFT total energy (hartree per atom): -0.16924
Total moment (μB per atom): 0.000
Relative energy among the computed polymorphs (meV/atom): 0

Cell lengths 6.117, 9.216, 15.665 Å; angles 90.00, 90.00, 90.00 degrees
Space group Fmmm (No. 69)
One atom of each set of equivalent atoms:
Tm (0.000, 0.000, 0.198) (multiplicity 8)
Tm (0.000, 0.185, 0.392) (multiplicity 16)
Zn (0.198, 0.000, 0.000) (multiplicity 8)
Co (0.250, 0.250, 0.250) (multiplicity 8)

(7)
# Zr3Be

Crystalline Zr3Be at its relaxed geometry (PBE, Alexandria).

## Properties
DFT total energy (hartree per atom): -0.26885
Total moment (μB per atom): 0.000
Relative energy among the computed polymorphs (meV/atom): 0

Cell lengths 7.009, 8.072, 5.609 Å; angles 90.00, 90.00, 90.00 degrees
Space group Pnma (No. 62)
One atom of each set of equivalent atoms:
Zr (0.030, 0.250, 0.127) (multiplicity 4)
Zr (0.182, 0.050, 0.641) (multiplicity 8)
Be (0.120, 0.750, 0.430) (multiplicity 4)

(8)
# TaCuBr2

Crystalline TaCuBr2 at its relaxed geometry (PBE, Alexandria).

## Properties
DFT total energy (hartree per atom): -0.17675
Total moment (μB per atom): 0.000
Relative energy among the computed polymorphs (meV/atom): 150

Cell lengths 9.480, 3.223, 7.988 Å; angles 90.00, 108.80, 90.00 degrees
Space group Cm (No. 8)
One atom of each set of equivalent atoms:
Ta (0.000, 0.000, 0.000) (multiplicity 2)
Cu (0.281, 0.000, 0.000) (multiplicity 2)
Br (0.116, 0.500, 0.271) (multiplicity 2)
Br (0.469, 0.000, 0.729) (multiplicity 2)